# 1
4
Lattice="2.3114 -2.3068 0.0000 2.3114 2.3068 0.0000 -2.0290 0.0000 10.7986" Properties=species:S:1:pos:R:3 comment="TlCdSnSb, relaxed, DFT PBE" total_energy_ev_per_atom=-2.800 polymorph_energy_mev_per_atom=0 formation_energy_uncorrected_ev_per_fu=0.2 pbc="T T T"
Tl 0.0000 0.0000 0.0000
Cd 0.0738 0.0000 5.2706
Sn 2.4380 0.0000 2.9867
Sb 0.2284 0.0000 8.1423

# 2
5
Lattice="5.3903 0.0000 0.0000 0.0000 5.3903 0.0000 0.0000 0.0000 6.0582" Properties=species:S:1:pos:R:3 comment="TlCd2SnSb, relaxed, DFT PBE" total_energy_ev_per_atom=-1.868 formation_energy_uncorrected_ev_per_fu=3.0 pbc="T T T"
Tl 0.0000 0.0000 0.0000
Cd 0.0000 2.6952 0.0000
Cd 2.6952 0.0000 0.0000
Sn 2.6952 2.6952 3.0291
Sb 0.0000 0.0000 3.0291

# 3
4
Lattice="0.0000 3.6640 3.6640 3.6640 0.0000 3.6640 3.6640 3.6640 0.0000" Properties=species:S:1:pos:R:3 comment="ZnCdSnSb, relaxed, DFT PBE" total_energy_ev_per_atom=-2.426 formation_energy_uncorrected_ev_per_fu=0.6 pbc="T T T"
Zn 0.0000 0.0000 0.0000
Cd 5.4960 5.4960 5.4960
Sn 1.8320 1.8320 1.8320
Sb 3.6640 3.6640 3.6640

# 4
3
Lattice="4.8226 0.0000 0.0000 -2.4113 4.1765 0.0000 0.0000 0.0000 4.7473" Properties=species:S:1:pos:R:3 comment="SrCdSb, relaxed, DFT PBE" total_energy_ev_per_atom=-2.806 polymorph_energy_mev_per_atom=109 formation_energy_uncorrected_ev_per_fu=-1.7 pbc="T T T"
Sr 0.0000 0.0000 0.0000
Cd 2.4113 1.3922 1.9379
Sb 0.0000 2.7844 2.6627

# 5
4
Lattice="3.5157 0.0000 0.0000 0.0000 5.7492 0.0000 -0.0015 0.0000 6.0320" Properties=species:S:1:pos:R:3 comment="SrCdSb2, relaxed, DFT PBE" total_energy_ev_per_atom=-3.059 formation_energy_uncorrected_ev_per_fu=-1.4 pbc="T T T"
Sr 0.0000 0.0000 0.0000
Cd 1.7712 2.8746 2.1214
Sb 1.7539 2.8746 5.2035
Sb 1.7602 0.0000 3.0091

# 6
30
Lattice="2.3679 -11.4886 0.0000 2.3679 11.4886 0.0000 0.0000 0.0000 17.4624" Properties=species:S:1:pos:R:3 comment="Sr4Cd5Sb6, relaxed, DFT PBE" total_energy_ev_per_atom=-2.984 formation_energy_uncorrected_ev_per_fu=-8.7 pbc="T T T"
Sr 2.3679 11.2631 8.7312
Sr 2.3679 10.7672 13.6782
Sr 2.3679 7.6672 5.2630
Sr 2.3679 7.4658 16.6286
Sr 2.3679 -7.4658 7.8974
Sr 2.3679 -7.6672 13.9942
Sr 2.3679 -10.7672 4.9470
Sr 2.3679 -11.2631 0.0000
Cd 2.3679 8.2544 11.0646
Cd 2.3679 4.4149 11.0635
Cd 2.3679 4.0295 16.4749
Cd 2.3679 3.5790 4.7869
Cd 2.3679 1.3977 12.2363
Cd 2.3679 -1.3977 3.5050
Cd 2.3679 -3.5790 13.5181
Cd 2.3679 -4.0295 7.7437
Cd 2.3679 -4.4149 2.3322
Cd 2.3679 -8.2544 2.3334
Sb 2.3679 8.9829 2.1433
Sb 2.3679 6.3810 8.8998
Sb 2.3679 6.2140 13.3669
Sb 2.3679 1.9111 7.0994
Sb 2.3679 1.5212 15.1796
Sb 2.3679 1.3866 2.3872
Sb 2.3679 -1.3866 11.1184
Sb 2.3679 -1.5212 6.4484
Sb 2.3679 -1.9111 15.8306
Sb 2.3679 -6.2140 4.6356
Sb 2.3679 -6.3810 0.1686
Sb 2.3679 -8.9829 10.8745